(1)
# La2HoScS4 (GGA-PBE, relaxed)
data_La2HoScS4
_cell_length_a 6.801
_cell_length_b 3.906
_cell_length_c 7.048
_cell_angle_alpha 90.00
_cell_angle_beta 108.61
_cell_angle_gamma 90.00
_space_group_name_H-M_alt 'P 1 2/m 1'
_space_group_IT_number 10
_space_group_name_Hall '-P 2y'
loop_
_atom_site_label
_atom_site_type_symbol
_atom_site_fract_x
_atom_site_fract_y
_atom_site_fract_z
La1 La 0.000 0.000 0.000
La2 La 0.500 0.500 0.000
Ho1 Ho 0.000 0.500 0.500
Sc1 Sc 0.500 0.000 0.500
S1 S 0.248 0.000 0.723
S2 S 0.268 0.500 0.281
# Magnetic moment (μB/f.u.): 0.00
# Electronic total energy (eV/cell): -53.51
# Crystal system: monoclinic
# ΔE_f (raw) (kJ/mol of atoms): -195.76

(2)
# GaPCl (GGA-PBE, relaxed)
data_GaPCl
_cell_length_a 3.949
_cell_length_b 3.949
_cell_length_c 11.729
_cell_angle_alpha 81.37
_cell_angle_beta 81.50
_cell_angle_gamma 60.00
_space_group_name_H-M_alt 'P -1'
_space_group_IT_number 2
_space_group_name_Hall '-P 1'
loop_
_atom_site_label
_atom_site_type_symbol
_atom_site_fract_x
_atom_site_fract_y
_atom_site_fract_z
Ga1 Ga 0.214 0.216 0.335
P1 P 0.473 0.471 0.596
Cl1 Cl 0.268 0.272 0.150
# Magnetic moment (μB/f.u.): 0.00
# Electronic total energy (eV/cell): -24.38
# Relative energy among the computed polymorphs (meV per atom): 0
# Crystal system: triclinic
# ΔE_f (raw) (kJ/mol of atoms): -61.33